Computed, not measured: a geometry-optimized Li7Ho3Mo8O32 structure at the PBEsol level of DFT.

Properties
Total magnetic moment: 0.00 μB per formula unit
Raw formation energy: -2366 meV/atom

```
Li7Ho3Mo8O32
1.0
-6.5705 0.8075 0.8693
-4.1317 -6.7122 -5.6349
-1.7874 -9.1041 5.0052
O Li Mo Ho
32 7 8 3
direct
0.5984 0.2900 0.9056
0.9114 0.1968 0.0978
0.6276 0.3083 0.6464
0.0525 0.9008 0.1366
0.6963 0.7993 0.2056
0.0922 0.7927 0.9097
0.6461 0.9218 0.9278
0.5434 0.7605 0.5639
0.7922 0.7059 0.7935
0.4413 0.5934 0.8590
0.3112 0.5219 0.6601
0.3525 0.0783 0.0708
0.8594 0.5901 0.0748
0.0446 0.2605 0.5675
0.1840 0.9800 0.3381
0.8985 0.4366 0.7280
0.5475 0.4111 0.1519
0.2008 0.2982 0.2093
0.1125 0.5627 0.2700
0.8717 0.1948 0.3554
0.1220 0.8067 0.6484
0.4077 0.7076 0.0880
0.6976 0.4837 0.3431
0.3008 0.2009 0.7918
0.3936 0.9311 0.7336
0.9489 0.0925 0.8636
0.8072 0.0190 0.6598
0.3733 0.6942 0.3537
0.1671 0.4092 0.9337
0.9540 0.7350 0.4353
0.6012 0.0687 0.2650
0.4543 0.2334 0.4397
0.5072 0.5061 0.5029
0.9994 0.0020 0.5007
0.7467 0.4701 0.9021
0.0110 0.3579 0.3680
0.5126 0.8587 0.3639
0.4892 0.1424 0.6366
0.9867 0.6383 0.6381
0.1506 0.1415 0.1818
0.1198 0.7307 0.2977
0.8475 0.8592 0.8167
0.6166 0.2330 0.2997
0.3798 0.7646 0.7031
0.8820 0.2702 0.7053
0.6537 0.6375 0.1822
0.3555 0.3587 0.8162
0.2754 0.9548 0.9385
0.2294 0.5421 0.0591
0.7250 0.0467 0.0600
```